(1)
# Ac2ZrSb3Pd4 GGA-PBE optimized geometry
data_Ac2ZrSb3Pd4
_space_group_name_H-M_alt 'P -4 m 2'
_space_group_IT_number 115
_cell_length_a 4.609
_cell_length_b 4.609
_cell_length_c 11.250
_cell_angle_alpha 90.00
_cell_angle_beta 90.00
_cell_angle_gamma 90.00
loop_
_space_group_symop_operation_xyz
'x,y,z'
'y,-x,-z'
'-x,-y,z'
'-y,x,-z'
'-x,y,z'
'-y,-x,-z'
'x,-y,z'
'y,x,-z'
loop_
_atom_site_label
_atom_site_type_symbol
_atom_site_fract_x
_atom_site_fract_y
_atom_site_fract_z
_atom_site_occupancy
Ac1 Ac 0.000 0.500 0.232 1
Zr1 Zr 0.000 0.000 0.500 1
Sb1 Sb 0.000 0.500 0.870 1
Sb2 Sb 0.500 0.500 0.500 1
Pd1 Pd 0.000 0.000 0.000 1
Pd2 Pd 0.000 0.500 0.633 1
Pd3 Pd 0.500 0.500 0.000 1
# - uncorrected energy (eV/atom) = -5.85
# - Fermi-level density of states (states/eV/f.u.) = 6.36
# - E_form (uncorrected) (eV per atom) = -0.863

(2)
# AcScPd2 GGA-PBE optimized geometry
data_AcScPd2
_space_group_name_H-M_alt 'R -3 m'
_space_group_IT_number 166
_space_group_name_Hall '-R 3 2"'
_cell_length_a 4.6023
_cell_length_b 4.6023
_cell_length_c 15.9525
_cell_angle_alpha 90.00
_cell_angle_beta 90.00
_cell_angle_gamma 120.00
loop_
_atom_site_label
_atom_site_type_symbol
_atom_site_fract_x
_atom_site_fract_y
_atom_site_fract_z
_atom_site_occupancy
Ac1 Ac 0.0000 0.0000 0.0000 1
Sc1 Sc 0.0000 0.0000 0.5000 1
Pd1 Pd 0.0000 0.0000 0.2125 1
# - uncorrected energy (eV/atom) = -5.99
# - Fermi-level density of states (states/eV/f.u.) = 2.68
# - excess energy over the best structure of this formula in the dataset (meV per atom) = 0
# - ΔH_f (0 K) (kJ/mol of atoms) = -76

(3)
# AcScPd2 GGA-PBE optimized geometry
data_AcScPd2
_space_group_name_H-M_alt 'F m -3 m'
_space_group_IT_number 225
_space_group_name_Hall '-F 4 2 3'
_cell_length_a 7.189
_cell_length_b 7.189
_cell_length_c 7.189
_cell_angle_alpha 90.00
_cell_angle_beta 90.00
_cell_angle_gamma 90.00
loop_
_atom_site_label
_atom_site_type_symbol
_atom_site_fract_x
_atom_site_fract_y
_atom_site_fract_z
_atom_site_occupancy
Ac1 Ac 0.000 0.000 0.000 1
Sc1 Sc 0.000 0.000 0.500 1
Pd1 Pd 0.250 0.250 0.250 1
# - uncorrected energy (eV/atom) = -5.84
# - Fermi-level density of states (states/eV/f.u.) = 4.17
# - excess energy over the best structure of this formula in the dataset (meV per atom) = 153
# - ΔH_f (0 K) (kJ/mol of atoms) = -61

- Which value of Fermi-level density of states does entry 3 give?
  4.17 states/eV/f.u.